! PBEsol ZrZn2Cd, relaxed; values from VASP
&SYSTEM
  ibrav = 0, nat = 4, ntyp = 3
/
ATOMIC_SPECIES
Zr 91.22 Zr.upf
Zn 65.41 Zn.upf
Cd 112.41 Cd.upf
CELL_PARAMETERS angstrom
4.262 0.000 0.000
0.000 1.466 5.566
0.000 -1.466 5.566
ATOMIC_POSITIONS angstrom
Zr 0.000 0.000 0.000
Zn 0.000 0.000 8.176
Zn 2.131 0.000 6.779
Cd 2.131 0.000 3.811
! Total DFT energy (no corrections) (eV/atom): -3.51
! Space group: Amm2 (38)
! Total magnetization (μB/atom): 0.000
! Crystal system: orthorhombic

***

! PBEsol CrCSe2N, relaxed; values from VASP
&SYSTEM
  ibrav = 0, nat = 5, ntyp = 4
/
ATOMIC_SPECIES
Cr 52.00 Cr.upf
C 12.01 C.upf
Se 78.96 Se.upf
N 14.01 N.upf
CELL_PARAMETERS angstrom
4.701 0.000 0.000
0.000 4.701 0.000
0.000 0.000 3.448
ATOMIC_POSITIONS angstrom
Cr 0.000 0.000 0.000
C 2.351 2.351 1.724
Se 0.000 2.351 0.000
Se 2.351 0.000 0.000
N 0.000 0.000 1.724
! Total DFT energy (no corrections) (eV/atom): -5.87
! Space group: P4/mmm (123)
! Total magnetization (μB/atom): 0.187
! Formation energy without anion corrections (kJ/mol of formula units): 651
! Crystal system: tetragonal

***

! PBEsol Ca2PtAu, relaxed; values from VASP
&SYSTEM
  ibrav = 0, nat = 4, ntyp = 3
/
ATOMIC_SPECIES
Ca 40.08 Ca.upf
Pt 195.08 Pt.upf
Au 196.97 Au.upf
CELL_PARAMETERS angstrom
3.501 0.000 0.000
0.000 3.501 0.000
0.000 0.000 6.999
ATOMIC_POSITIONS angstrom
Ca 0.000 0.000 1.659
Ca 0.000 0.000 5.340
Pt 1.750 1.750 0.000
Au 1.750 1.750 3.500
! Total DFT energy (no corrections) (eV/atom): -4.57
! Space group: P4/mmm (123)
! Total magnetization (μB/atom): 0.000
! Crystal system: tetragonal

***

! PBEsol MnHgS2, relaxed; values from VASP
&SYSTEM
  ibrav = 0, nat = 4, ntyp = 3
/
ATOMIC_SPECIES
Mn 54.94 Mn.upf
Hg 200.59 Hg.upf
S 32.06 S.upf
CELL_PARAMETERS angstrom
3.188 0.000 0.000
-1.594 2.761 0.000
0.000 0.000 8.667
ATOMIC_POSITIONS angstrom
Mn 0.000 0.000 0.000
Hg 1.594 0.920 4.411
S 0.000 1.841 7.308
S 1.594 0.920 1.356
! Total DFT energy (no corrections) (eV/atom): -5.18
! Energy above the most stable polymorph in this dataset (meV per atom): 0
! Space group: P3m1 (156)
! Total magnetization (μB/atom): 0.662
! Formation energy without anion corrections (kJ/mol of formula units): -156
! Crystal system: trigonal

***

! PBEsol RbLaMg2S, relaxed; values from VASP
&SYSTEM
  ibrav = 0, nat = 5, ntyp = 4
/
ATOMIC_SPECIES
Rb 85.47 Rb.upf
La 138.91 La.upf
Mg 24.30 Mg.upf
S 32.06 S.upf
CELL_PARAMETERS angstrom
6.461 0.000 0.000
0.000 6.461 0.000
0.000 0.000 5.380
ATOMIC_POSITIONS angstrom
Rb 0.000 0.000 0.000
La 3.230 3.230 2.690
Mg 0.000 3.230 2.690
Mg 3.230 0.000 2.690
S 3.230 3.230 0.000
! Total DFT energy (no corrections) (eV/atom): -2.88
! Space group: P4/mmm (123)
! Total magnetization (μB/atom): 0.000
! Formation energy without anion corrections (kJ/mol of formula units): -21
! Crystal system: tetragonal

***

! PBEsol Si2AgPt, relaxed; values from VASP
&SYSTEM
  ibrav = 0, nat = 4, ntyp = 3
/
ATOMIC_SPECIES
Si 28.09 Si.upf
Ag 107.87 Ag.upf
Pt 195.08 Pt.upf
CELL_PARAMETERS angstrom
3.477 0.000 0.000
0.000 3.477 0.000
0.000 0.000 5.015
ATOMIC_POSITIONS angstrom
Si 0.000 0.000 0.000
Si 1.738 1.738 1.533
Ag 0.000 0.000 2.509
Pt 1.738 1.738 4.147
! Total DFT energy (no corrections) (eV/atom): -5.53
! Energy above the most stable polymorph in this dataset (meV per atom): 83
! Space group: P4mm (99)
! Total magnetization (μB/atom): 0.000
! Formation energy without anion corrections (kJ/mol of formula units): -35
! Crystal system: tetragonal

***

! PBEsol Rb2PtCl, relaxed; values from VASP
&SYSTEM
  ibrav = 0, nat = 8, ntyp = 3
/
ATOMIC_SPECIES
Rb 85.47 Rb.upf
Pt 195.08 Pt.upf
Cl 35.45 Cl.upf
CELL_PARAMETERS angstrom
-4.359 4.359 3.103
4.359 -4.359 3.103
4.359 4.359 -3.103
ATOMIC_POSITIONS angstrom
Rb 2.180 2.108 -0.776
Rb 2.252 -2.180 3.879
Rb 2.180 2.252 2.328
Rb 2.108 6.539 0.776
Pt 4.359 0.000 1.552
Pt 0.000 0.000 3.103
Cl 0.000 0.000 0.000
Cl 0.000 4.359 1.552
! Total DFT energy (no corrections) (eV/atom): -2.98
! Space group: I-42d (122)
! Total magnetization (μB/atom): 0.000
! Formation energy without anion corrections (kJ/mol of formula units): -87
! Crystal system: tetragonal

***

! PBEsol MnPbSeN2, relaxed; values from VASP
&SYSTEM
  ibrav = 0, nat = 5, ntyp = 4
/
ATOMIC_SPECIES
Mn 54.94 Mn.upf
Pb 207.20 Pb.upf
Se 78.96 Se.upf
N 14.01 N.upf
CELL_PARAMETERS angstrom
3.811 0.000 0.000
0.000 3.811 0.000
0.000 0.000 5.019
ATOMIC_POSITIONS angstrom
Mn 0.000 0.000 0.000
Pb 1.906 1.906 2.509
Se 0.000 0.000 2.509
N 0.000 1.906 0.000
N 1.906 0.000 0.000
! Total DFT energy (no corrections) (eV/atom): -6.39
! Space group: P4/mmm (123)
! Total magnetization (μB/atom): 0.003
! Formation energy without anion corrections (kJ/mol of formula units): 263
! Crystal system: tetragonal

***

! PBEsol KTlSbI2, relaxed; values from VASP
&SYSTEM
  ibrav = 0, nat = 5, ntyp = 4
/
ATOMIC_SPECIES
K 39.10 K.upf
Tl 204.38 Tl.upf
Sb 121.76 Sb.upf
I 126.90 I.upf
CELL_PARAMETERS angstrom
6.371 0.000 0.000
0.000 6.371 0.000
0.000 0.000 6.294
ATOMIC_POSITIONS angstrom
K 0.000 0.000 0.000
Tl 3.186 3.186 3.147
Sb 0.000 0.000 3.147
I 0.000 3.186 0.000
I 3.186 0.000 0.000
! Total DFT energy (no corrections) (eV/atom): -2.25
! Space group: P4/mmm (123)
! Total magnetization (μB/atom): 0.598
! Formation energy without anion corrections (kJ/mol of formula units): 58
! Crystal system: tetragonal

***

! PBEsol CsAgO2F, relaxed; values from VASP
&SYSTEM
  ibrav = 0, nat = 5, ntyp = 4
/
ATOMIC_SPECIES
Cs 132.91 Cs.upf
Ag 107.87 Ag.upf
O 16.00 O.upf
F 19.00 F.upf
CELL_PARAMETERS angstrom
4.160 0.000 0.000
0.000 4.160 0.000
0.000 0.000 8.802
ATOMIC_POSITIONS angstrom
Cs 0.000 0.000 0.000
Ag 0.000 0.000 4.401
O 0.000 2.080 0.000
O 2.080 0.000 0.000
F 2.080 2.080 4.401
! Total DFT energy (no corrections) (eV/atom): -2.89
! Space group: P4/mmm (123)
! Total magnetization (μB/atom): 0.000
! Formation energy without anion corrections (kJ/mol of formula units): 216
! Crystal system: tetragonal

***

! PBEsol AlIn2Fe, relaxed; values from VASP
&SYSTEM
  ibrav = 0, nat = 4, ntyp = 3
/
ATOMIC_SPECIES
Al 26.98 Al.upf
In 114.82 In.upf
Fe 55.84 Fe.upf
CELL_PARAMETERS angstrom
4.827 -1.485 0.000
4.827 1.485 0.000
-0.949 0.000 5.045
ATOMIC_POSITIONS angstrom
Al 0.000 0.000 0.000
In 1.565 0.000 3.717
In 7.139 0.000 1.328
Fe 4.352 0.000 2.523
! Total DFT energy (no corrections) (eV/atom): -4.45
! Space group: C2/m (12)
! Total magnetization (μB/atom): 0.583
! Crystal system: monoclinic

***

! PBEsol PtRhBr2, relaxed; values from VASP
&SYSTEM
  ibrav = 0, nat = 4, ntyp = 3
/
ATOMIC_SPECIES
Pt 195.08 Pt.upf
Rh 102.91 Rh.upf
Br 79.90 Br.upf
CELL_PARAMETERS angstrom
3.144 0.000 0.000
0.000 3.144 0.000
0.000 0.000 7.782
ATOMIC_POSITIONS angstrom
Pt 0.000 0.000 0.000
Rh 1.572 1.572 1.527
Br 0.000 0.000 3.064
Br 1.572 1.572 6.080
! Total DFT energy (no corrections) (eV/atom): -4.34
! Energy above the most stable polymorph in this dataset (meV per atom): 0
! Space group: P4mm (99)
! Total magnetization (μB/atom): 0.001
! Formation energy without anion corrections (kJ/mol of formula units): 141
! Crystal system: tetragonal

***

! PBEsol CuBi3Pd, relaxed; values from VASP
&SYSTEM
  ibrav = 0, nat = 5, ntyp = 3
/
ATOMIC_SPECIES
Cu 63.55 Cu.upf
Bi 208.98 Bi.upf
Pd 106.42 Pd.upf
CELL_PARAMETERS angstrom
5.278 0.000 0.000
0.000 5.278 0.000
0.000 0.000 5.278
ATOMIC_POSITIONS angstrom
Cu 0.000 0.000 0.000
Bi 0.000 2.639 2.639
Bi 2.639 0.000 2.639
Bi 2.639 2.639 0.000
Pd 2.639 2.639 2.639
! Total DFT energy (no corrections) (eV/atom): -3.99
! Space group: Pm-3m (221)
! Total magnetization (μB/atom): 0.000
! Crystal system: cubic